(1)
# KCdAu

An optimized crystal structure of KCdAu (GGA-PBE, Alexandria).

Cell lengths 4.8846, 4.8846, 4.5508 Å; angles 90.00, 90.00, 120.00 degrees
Atoms (fractional coordinates):
K  0.0000  0.0000  0.0000
Cd  0.6667  0.3333  0.5000
Au  0.3333  0.6667  0.5000

Computed properties:
As for the magnetic moment: 0.000 μB/cell. The formation energy is -0.238 eV per atom. Its calculated density is 6.2 g/cm³. The calculation puts the total energy at -2.00 eV per atom.

***

(2)
# Na3Al2Cd9

An optimized crystal structure of Na3Al2Cd9 (GGA-PBE, Alexandria).

Cell lengths 8.8536, 8.8536, 8.8536 Å; angles 149.84, 101.62, 86.21 degrees
Atoms (fractional coordinates):
Na  0.0000  0.0000  0.0000
Na  0.2825  0.2825  0.0000
Na  0.7175  0.7175  0.0000
Al  0.3428  0.5000  0.8428
Al  0.6572  0.5000  0.1572
Cd  0.0017  0.3724  0.6293
Cd  0.1412  0.8529  0.2883
Cd  0.2570  0.6276  0.6293
Cd  0.4354  0.1471  0.2883
Cd  0.5000  0.0000  0.5000
Cd  0.5646  0.8529  0.7117
Cd  0.7430  0.3724  0.3707
Cd  0.8588  0.1471  0.7117
Cd  0.9983  0.6276  0.3707

Computed properties:
As for the magnetic moment: 0.000 μB/cell. The formation energy is -0.018 eV per atom. Its calculated density is 5.7 g/cm³. The calculation puts the total energy at -1.42 eV per atom.